Entry 1:
Computed, not measured: a geometry-optimized SrAcCu2O5 structure at the PBE level of DFT.

Values from the calculation:
For the magnetic moment, the calculation gives 0.740 μB/f.u. As for the uncorrected formation energy: -1.79 eV/atom.

a b c (Å): 3.955 3.955 7.785
angles (deg): 90.00 90.00 90.00
Positions (direct):
Sr  0.000  0.000  0.000
Ac  0.000  0.000  0.500
Cu  0.500  0.500  0.249
Cu  0.500  0.500  0.751
O  0.000  0.500  0.286
O  0.000  0.500  0.714
O  0.500  0.000  0.286
O  0.500  0.000  0.714
O  0.500  0.500  0.000

Entry 2:
Computed, not measured: a geometry-optimized Li2AgOs structure at the PBE level of DFT.

Values from the calculation:
As for the energy above the most stable polymorph in this dataset: 254 meV/atom. For the magnetic moment, the calculation gives 0.180 μB/f.u. The calculation puts the formation energy at 0.332 eV/atom.

a b c (Å): 4.617 4.617 2.619
angles (deg): 90.00 90.00 90.00
Positions (direct):
Li  0.000  0.500  0.000
Li  0.500  0.000  0.000
Ag  0.000  0.000  0.500
Os  0.500  0.500  0.500